No. 1
The following is a DFT calculation (PBE) of BaSb2Mo2 after structural relaxation.

Output
total magnetic moment: 1.8 μB per formula unit
total energy: -6.19 eV per atom

abc: 4.896 4.452 11.770
angles: 90.00 93.07 90.00
Each line ends with the local moment (μB).
Element x y z (fractional)
Ba (0.785, 0.250, 0.247)  0.04
Ba (0.215, 0.750, 0.753)  0.04
Mo (0.261, 0.750, 0.123)  1.38
Mo (0.845, 0.750, 0.494)  0.09
Mo (0.155, 0.250, 0.506)  0.09
Mo (0.739, 0.250, 0.877)  1.38
Sb (0.747, 0.750, 0.011)  -0.05
Sb (0.314, 0.750, 0.365)  -0.01
Sb (0.686, 0.250, 0.635)  -0.01
Sb (0.253, 0.250, 0.989)  -0.05


No. 2
The following is a DFT calculation (PBE) of LuTaSi after structural relaxation.

Output
total magnetic moment: 3.0 μB per formula unit
total energy: -6.15 eV per atom

abc: 4.696 4.696 4.696
angles: 60.00 60.00 60.00
Element x y z (fractional)
Lu (0.000, 0.000, 0.000)
Si (0.250, 0.250, 0.250)
Ta (0.750, 0.750, 0.750)


No. 3
The following is a DFT calculation (PBE) of PrZrAsO after structural relaxation.

Output
total magnetic moment: 0.0 μB per formula unit
excess energy over the best structure of this formula in the dataset: 0.0033 eV/atom

abc: 4.287 5.109 7.259
angles: 90.00 90.00 90.00
Element x y z (fractional)
As (0.000, 0.850, 0.292)
As (0.000, 0.150, 0.792)
O (0.500, 0.350, 0.436)
O (0.500, 0.650, 0.936)
Pr (0.500, 0.152, 0.085)
Pr (0.500, 0.848, 0.585)
Zr (0.000, 0.358, 0.441)
Zr (0.000, 0.642, 0.941)


No. 4
The following is a DFT calculation (PBE) of NdHoSi4Ni2 after structural relaxation.

Output
total magnetic moment: 0.0 μB per formula unit
total energy: -6.10 eV per atom

abc: 4.014 8.432 8.432
angles: 27.91 90.00 90.00
Element x y z (fractional)
Ho (0.000, 0.607, 0.607)
Nd (0.500, 0.395, 0.395)
Ni (0.500, 0.179, 0.179)
Ni (0.000, 0.819, 0.819)
Si (0.500, 0.042, 0.042)
Si (0.000, 0.249, 0.249)
Si (0.500, 0.748, 0.748)
Si (0.000, 0.961, 0.961)


No. 5
The following is a DFT calculation (PBE) of Hf2ZnGe2 after structural relaxation.

Output
total magnetic moment: 0.0 μB per formula unit
total energy: -6.09 eV per atom

abc: 7.177 7.177 7.177
angles: 149.57 149.57 43.57
Element x y z (fractional)
Ge (0.750, 0.250, 0.500)
Ge (0.250, 0.750, 0.500)
Hf (0.398, 0.398, 0.000)
Hf (0.602, 0.602, 0.000)
Zn (0.000, 0.000, 0.000)


No. 6
The following is a DFT calculation (PBE) of PrHf2Si2 after structural relaxation.

Output
total magnetic moment: 0.0 μB per formula unit
total energy: -7.63 eV per atom

abc: 7.541 7.541 3.547
angles: 90.00 90.00 90.00
Element x y z (fractional)
Hf (0.330, 0.170, 0.500)
Hf (0.830, 0.330, 0.500)
Hf (0.170, 0.670, 0.500)
Hf (0.670, 0.830, 0.500)
Pr (0.000, 0.000, 0.000)
Pr (0.500, 0.500, 0.000)
Si (0.618, 0.118, 0.000)
Si (0.118, 0.382, 0.000)
Si (0.882, 0.618, 0.000)
Si (0.382, 0.882, 0.000)


No. 7
The following is a DFT calculation (PBE) of KLuCoS3 after structural relaxation.

Output
total magnetic moment: 3.0 μB per formula unit
excess energy over the best structure of this formula in the dataset: 0.0912 eV/atom

abc: 9.808 3.864 14.151
angles: 90.00 90.00 90.00
Each line ends with the local moment (μB).
Element x y z (fractional)
Co (0.648, 0.250, 0.132)  2.12
Co (0.148, 0.250, 0.368)  2.12
Co (0.852, 0.750, 0.632)  2.12
Co (0.352, 0.750, 0.868)  2.12
K (0.969, 0.750, 0.168)  0.00
K (0.469, 0.750, 0.332)  0.00
K (0.531, 0.250, 0.668)  0.00
K (0.031, 0.250, 0.832)  0.00
Lu (0.336, 0.250, 0.058)  0.06
Lu (0.836, 0.250, 0.442)  0.06
Lu (0.164, 0.750, 0.558)  0.06
Lu (0.664, 0.750, 0.942)  0.06
S (0.811, 0.250, 0.016)  0.11
S (0.524, 0.750, 0.109)  0.15
S (0.229, 0.250, 0.224)  0.21
S (0.729, 0.250, 0.276)  0.21
S (0.024, 0.750, 0.391)  0.15
S (0.311, 0.250, 0.484)  0.11
S (0.689, 0.750, 0.516)  0.11
S (0.976, 0.250, 0.609)  0.15
S (0.271, 0.750, 0.724)  0.21
S (0.771, 0.750, 0.776)  0.21
S (0.476, 0.250, 0.891)  0.15
S (0.189, 0.750, 0.984)  0.11


No. 8
The following is a DFT calculation (PBE) of Gd3Ir after structural relaxation.

Output
total magnetic moment: 0.0 μB per formula unit
total energy: -6.25 eV per atom

abc: 7.248 9.477 6.395
angles: 90.00 90.00 90.00
Element x y z (fractional)
Gd (0.965, 0.750, 0.136)
Gd (0.677, 0.064, 0.172)
Gd (0.677, 0.436, 0.172)
Gd (0.177, 0.064, 0.328)
Gd (0.177, 0.436, 0.328)
Gd (0.465, 0.750, 0.364)
Gd (0.535, 0.250, 0.636)
Gd (0.823, 0.564, 0.672)
Gd (0.823, 0.936, 0.672)
Gd (0.323, 0.564, 0.828)
Gd (0.323, 0.936, 0.828)
Gd (0.035, 0.250, 0.864)
Ir (0.382, 0.250, 0.053)
Ir (0.882, 0.250, 0.447)
Ir (0.118, 0.750, 0.553)
Ir (0.618, 0.750, 0.947)